Record 1
# meta-GGA SCAN Zr2InRh, single point on PBEsol structure
# - Energy of formation: -0.5313 eV/atom
# - Volume: 77 Å³ per cell
# - SG: No. 99
# - E_tot: -32.6702 eV per atom
data_Zr2InRh
_chemical_formula_sum 'Zr2 In1 Rh1'
_cell_length_a 3.258
_cell_length_b 3.258
_cell_length_c 7.284
_cell_angle_alpha 90.00
_cell_angle_beta 90.00
_cell_angle_gamma 90.00
_symmetry_space_group_name_H-M 'P 1'
_symmetry_Int_Tables_number 1
loop_
_symmetry_equiv_pos_as_xyz
'x,y,z'
loop_
_atom_site_label
_atom_site_fract_x
_atom_site_fract_y
_atom_site_fract_z
Zr1 0.000 0.000 0.000
Zr2 0.500 0.500 0.291
In1 0.000 0.000 0.571
Rh1 0.500 0.500 0.795

Record 2
# meta-GGA SCAN Zr2InRh, single point on PBEsol structure
# - Energy of formation: -0.6355 eV/atom
# - Volume: 76 Å³ per cell
# - SG: No. 123
# - E_tot: -32.7744 eV per atom
data_Zr2InRh
_chemical_formula_sum 'Zr2 In1 Rh1'
_cell_length_a 3.063
_cell_length_b 3.063
_cell_length_c 8.138
_cell_angle_alpha 90.00
_cell_angle_beta 90.00
_cell_angle_gamma 90.00
_symmetry_space_group_name_H-M 'P 1'
_symmetry_Int_Tables_number 1
loop_
_symmetry_equiv_pos_as_xyz
'x,y,z'
loop_
_atom_site_label
_atom_site_fract_x
_atom_site_fract_y
_atom_site_fract_z
Zr1 0.000 0.000 0.220
Zr2 0.000 0.000 0.780
In1 0.500 0.500 0.500
Rh1 0.500 0.500 0.000

Record 3
# meta-GGA SCAN ZrIn2Rh, single point on PBEsol structure
# - Energy of formation: -0.3874 eV/atom
# - Volume: 79 Å³ per cell
# - SG: No. 25
# - E_tot: -33.1982 eV per atom
data_ZrIn2Rh
_chemical_formula_sum 'Zr1 In2 Rh1'
_cell_length_a 3.178
_cell_length_b 3.342
_cell_length_c 7.398
_cell_angle_alpha 90.00
_cell_angle_beta 90.00
_cell_angle_gamma 90.00
_symmetry_space_group_name_H-M 'P 1'
_symmetry_Int_Tables_number 1
loop_
_symmetry_equiv_pos_as_xyz
'x,y,z'
loop_
_atom_site_label
_atom_site_fract_x
_atom_site_fract_y
_atom_site_fract_z
Zr1 0.000 0.000 0.000
In1 0.000 0.000 0.427
In2 0.500 0.500 0.722
Rh1 0.500 0.500 0.207

Record 4
# meta-GGA SCAN ZrIn2Rh, single point on PBEsol structure
# - Energy of formation: -0.3911 eV/atom
# - Volume: 75 Å³ per cell
# - SG: No. 119
# - E_tot: -33.2019 eV per atom
data_ZrIn2Rh
_chemical_formula_sum 'Zr1 In2 Rh1'
_cell_length_a 5.082
_cell_length_b 5.082
_cell_length_c 5.082
_cell_angle_alpha 130.03
_cell_angle_beta 130.03
_cell_angle_gamma 73.35
_symmetry_space_group_name_H-M 'P 1'
_symmetry_Int_Tables_number 1
loop_
_symmetry_equiv_pos_as_xyz
'x,y,z'
loop_
_atom_site_label
_atom_site_fract_x
_atom_site_fract_y
_atom_site_fract_z
Zr1 0.000 0.000 0.000
In1 0.250 0.750 0.500
In2 0.500 0.500 0.000
Rh1 0.750 0.250 0.500

Record 5
# meta-GGA SCAN ZrInRh, single point on PBEsol structure
# - Energy of formation: -0.6255 eV/atom
# - Volume: 55 Å³ per cell
# - SG: No. 107
# - E_tot: -33.2444 eV per atom
data_ZrInRh
_chemical_formula_sum 'Zr1 In1 Rh1'
_cell_length_a 5.975
_cell_length_b 5.975
_cell_length_c 5.975
_cell_angle_alpha 149.51
_cell_angle_beta 149.51
_cell_angle_gamma 43.66
_symmetry_space_group_name_H-M 'P 1'
_symmetry_Int_Tables_number 1
loop_
_symmetry_equiv_pos_as_xyz
'x,y,z'
loop_
_atom_site_label
_atom_site_fract_x
_atom_site_fract_y
_atom_site_fract_z
Zr1 0.000 0.000 0.000
In1 0.698 0.698 0.000
Rh1 0.354 0.354 0.000

Record 6
# meta-GGA SCAN In3Ru, single point on PBEsol structure
# - Energy of formation: -0.2185 eV/atom
# - Volume: 351 Å³ per cell
# - SG: No. 136
# - E_tot: -33.9649 eV per atom
data_In3Ru
_chemical_formula_sum 'In12 Ru4'
_cell_length_a 6.974
_cell_length_b 6.974
_cell_length_c 7.214
_cell_angle_alpha 90.00
_cell_angle_beta 90.00
_cell_angle_gamma 90.00
_symmetry_space_group_name_H-M 'P 1'
_symmetry_Int_Tables_number 1
loop_
_symmetry_equiv_pos_as_xyz
'x,y,z'
loop_
_atom_site_label
_atom_site_fract_x
_atom_site_fract_y
_atom_site_fract_z
In1 0.000 0.500 0.000
In2 0.000 0.500 0.500
In3 0.156 0.156 0.238
In4 0.156 0.156 0.762
In5 0.344 0.656 0.262
In6 0.344 0.656 0.738
In7 0.500 0.000 0.000
In8 0.500 0.000 0.500
In9 0.656 0.344 0.262
In10 0.656 0.344 0.738
In11 0.844 0.844 0.238
In12 0.844 0.844 0.762
Ru1 0.154 0.846 0.000
Ru2 0.346 0.346 0.500
Ru3 0.654 0.654 0.500
Ru4 0.846 0.154 0.000

Record 7
# meta-GGA SCAN InRu2, single point on PBEsol structure
# - Energy of formation: 0.0619 eV/atom
# - Volume: 46 Å³ per cell
# - SG: No. 139
# - E_tot: -34.2844 eV per atom
data_InRu2
_chemical_formula_sum 'In1 Ru2'
_cell_length_a 6.108
_cell_length_b 6.108
_cell_length_c 6.108
_cell_angle_alpha 153.26
_cell_angle_beta 153.26
_cell_angle_gamma 38.18
_symmetry_space_group_name_H-M 'P 1'
_symmetry_Int_Tables_number 1
loop_
_symmetry_equiv_pos_as_xyz
'x,y,z'
loop_
_atom_site_label
_atom_site_fract_x
_atom_site_fract_y
_atom_site_fract_z
In1 0.000 0.000 0.000
Ru1 0.319 0.319 0.000
Ru2 0.681 0.681 0.000

Record 8
# meta-GGA SCAN InRu2, single point on PBEsol structure
# - Energy of formation: 0.5003 eV/atom
# - Volume: 46 Å³ per cell
# - SG: No. 164
# - E_tot: -33.8461 eV per atom
data_InRu2
_chemical_formula_sum 'In1 Ru2'
_cell_length_a 4.382
_cell_length_b 4.382
_cell_length_c 2.786
_cell_angle_alpha 90.00
_cell_angle_beta 90.00
_cell_angle_gamma 120.00
_symmetry_space_group_name_H-M 'P 1'
_symmetry_Int_Tables_number 1
loop_
_symmetry_equiv_pos_as_xyz
'x,y,z'
loop_
_atom_site_label
_atom_site_fract_x
_atom_site_fract_y
_atom_site_fract_z
In1 0.000 0.000 0.000
Ru1 0.333 0.667 0.290
Ru2 0.667 0.333 0.710

Record 9
# meta-GGA SCAN In3Ru, single point on PBEsol structure
# - Energy of formation: -0.1249 eV/atom
# - Volume: 323 Å³ per cell
# - SG: No. 62
# - E_tot: -33.8713 eV per atom
data_In3Ru
_chemical_formula_sum 'In12 Ru4'
_cell_length_a 7.255
_cell_length_b 8.449
_cell_length_c 5.262
_cell_angle_alpha 90.00
_cell_angle_beta 90.00
_cell_angle_gamma 90.00
_symmetry_space_group_name_H-M 'P 1'
_symmetry_Int_Tables_number 1
loop_
_symmetry_equiv_pos_as_xyz
'x,y,z'
loop_
_atom_site_label
_atom_site_fract_x
_atom_site_fract_y
_atom_site_fract_z
In1 0.013 0.250 0.099
In2 0.170 0.049 0.623
In3 0.170 0.451 0.623
In4 0.330 0.549 0.123
In5 0.330 0.951 0.123
In6 0.487 0.750 0.599
In7 0.513 0.250 0.401
In8 0.670 0.049 0.877
In9 0.670 0.451 0.877
In10 0.830 0.549 0.377
In11 0.830 0.951 0.377
In12 0.987 0.750 0.901
Ru1 0.132 0.750 0.410
Ru2 0.368 0.250 0.910
Ru3 0.632 0.750 0.090
Ru4 0.868 0.250 0.590

Record 10
# meta-GGA SCAN InRu2, single point on PBEsol structure
# - Energy of formation: 1.0527 eV/atom
# - Volume: 55 Å³ per cell
# - SG: No. 225
# - E_tot: -33.2936 eV per atom
data_InRu2
_chemical_formula_sum 'In1 Ru2'
_cell_length_a 4.275
_cell_length_b 4.275
_cell_length_c 4.275
_cell_angle_alpha 60.00
_cell_angle_beta 60.00
_cell_angle_gamma 60.00
_symmetry_space_group_name_H-M 'P 1'
_symmetry_Int_Tables_number 1
loop_
_symmetry_equiv_pos_as_xyz
'x,y,z'
loop_
_atom_site_label
_atom_site_fract_x
_atom_site_fract_y
_atom_site_fract_z
In1 0.000 0.000 0.000
Ru1 0.250 0.250 0.250
Ru2 0.750 0.750 0.750

Record 11
# meta-GGA SCAN In3Ru, single point on PBEsol structure
# - Energy of formation: 0.1180 eV/atom
# - Volume: 83 Å³ per cell
# - SG: No. 123
# - E_tot: -33.6284 eV per atom
data_In3Ru
_chemical_formula_sum 'In3 Ru1'
_cell_length_a 3.115
_cell_length_b 3.115
_cell_length_c 8.570
_cell_angle_alpha 90.00
_cell_angle_beta 90.00
_cell_angle_gamma 90.00
_symmetry_space_group_name_H-M 'P 1'
_symmetry_Int_Tables_number 1
loop_
_symmetry_equiv_pos_as_xyz
'x,y,z'
loop_
_atom_site_label
_atom_site_fract_x
_atom_site_fract_y
_atom_site_fract_z
In1 0.000 0.000 0.000
In2 0.500 0.500 0.307
In3 0.500 0.500 0.693
Ru1 0.000 0.000 0.500

Record 12
# meta-GGA SCAN In2SbRu, single point on PBEsol structure
# - E_form (uncorrected): 0.39 eV/atom
# - Volume: 80 Å³ per cell
# - SG: No. 119
# - E_tot: -34.3210 eV per atom
data_In2SbRu
_chemical_formula_sum 'In2 Sb1 Ru1'
_cell_length_a 5.141
_cell_length_b 5.141
_cell_length_c 5.141
_cell_angle_alpha 129.05
_cell_angle_beta 129.05
_cell_angle_gamma 74.93
_symmetry_space_group_name_H-M 'P 1'
_symmetry_Int_Tables_number 1
loop_
_symmetry_equiv_pos_as_xyz
'x,y,z'
loop_
_atom_site_label
_atom_site_fract_x
_atom_site_fract_y
_atom_site_fract_z
In1 0.000 0.000 0.000
In2 0.750 0.250 0.500
Sb1 0.250 0.750 0.500
Ru1 0.500 0.500 0.000

no.,total magnetic moment (μB/atom)
1,0.000
2,0.000
3,0.000
4,0.000
5,0.000
6,0.000
7,0.000
8,0.000
9,0.000
10,1.051
11,0.000
12,0.000